The following is a PBE with a Hubbard U calculation of an optimized crystal structure of Sm2NiF8, from Alexandria via LeMat-Bulk.

The space group is C2/m (No. 12) and the conventional cell measures 13.224, 3.544 and 6.266 Å, with angles of 90.00, 99.64 and 90.00 degrees. The distinct sites, in fractional coordinates, are Sm at (0.179, 0.000, 0.208), Ni at (0.000, 0.500, 0.500), F at (0.017, 0.000, 0.318), F at (0.097, 0.500, 0.046), F at (0.163, 0.500, 0.490) and F at (0.209, 0.000, 0.841).

As for the raw total energy: -5.914 eV per atom. For the total magnetization, the calculation gives 1.98 μB per formula unit. The calculation puts the density at 5866 kg/m³.